Entry 1:
Entry from Alexandria: an optimized crystal structure of HfTe2W2Se4 (PBE-GGA).

Results
Energy   -6.74 eV/atom

Cell and atoms, written as POSCAR:
```
HfTe2W2Se4
1.0
3.375 0.000 0.000
-1.687 2.922 0.000
0.000 0.000 23.092
Hf Te W Se
1 2 2 4
Cartesian
0.000 0.000 0.000
1.687 0.974 2.203
1.687 0.974 20.890
0.000 0.000 14.804
1.687 0.974 7.732
0.000 0.000 6.068
0.000 0.000 9.395
1.687 0.974 13.140
1.687 0.974 16.467
```


Entry 2:
Entry from Alexandria: an optimized crystal structure of HfThSe3 (PBE-GGA).

Results
Energy   -7.03 eV/atom

Cell and atoms, written as POSCAR:
```
HfThSe3
1.0
7.485 -1.934 0.000
7.485 1.934 0.000
-0.004 0.000 8.602
Hf Th Se
2 2 6
Cartesian
2.987 0.000 3.195
11.978 0.000 5.407
5.871 0.000 0.836
9.094 0.000 7.767
0.712 0.000 1.463
3.791 0.000 7.189
5.607 0.000 3.878
9.358 0.000 4.724
11.174 0.000 1.413
14.253 0.000 7.140
```


Entry 3:
Entry from Alexandria: an optimized crystal structure of HfTh2Se6 (PBE-GGA).

Results
Energy above the most stable polymorph in this dataset   121.8 meV/atom

Cell and atoms, written as POSCAR:
```
HfTh2Se6
1.0
6.668 0.000 0.000
0.000 6.668 0.000
0.000 0.000 12.732
Hf Th Se
2 4 12
Cartesian
0.000 0.000 0.000
3.334 3.334 6.366
0.000 0.000 4.217
0.000 0.000 8.515
3.334 3.334 2.149
3.334 3.334 10.582
1.276 1.276 1.948
1.276 1.276 10.784
1.386 1.386 6.366
1.948 4.720 0.000
2.058 4.610 4.418
2.058 4.610 8.314
4.610 2.058 4.418
4.610 2.058 8.314
4.720 1.948 0.000
5.282 5.282 6.366
5.392 5.392 1.948
5.392 5.392 10.784
```


Entry 4:
Entry from Alexandria: an optimized crystal structure of HfThSe4 (PBE-GGA).

Results
Energy   -6.60 eV/atom

Cell and atoms, written as POSCAR:
```
HfThSe4
1.0
7.973 0.000 0.000
0.000 6.355 0.000
-3.483 0.000 6.984
Hf Th Se
2 2 8
Cartesian
0.000 0.000 0.000
-1.742 3.178 3.492
2.245 0.000 3.492
3.986 3.178 0.000
0.109 1.532 2.199
-1.633 1.646 5.691
0.180 4.623 4.523
1.922 4.910 1.031
2.568 1.445 5.953
4.310 1.732 2.461
6.122 4.710 1.293
4.381 4.823 4.785
```


Entry 5:
Entry from Alexandria: an optimized crystal structure of HfTh2Se6 (PBE-GGA).

Results
Energy above the most stable polymorph in this dataset   0.0 meV/atom

Cell and atoms, written as POSCAR:
```
HfTh2Se6
1.0
6.612 0.000 0.000
0.000 7.615 0.000
-6.370 0.000 9.484
Hf Th Se
2 4 12
Cartesian
0.000 0.000 0.000
-3.185 3.807 4.742
-2.855 0.898 7.143
0.330 2.910 2.401
-0.089 4.705 7.083
3.096 6.717 2.341
-0.836 0.271 2.497
-4.022 3.537 7.239
1.050 5.224 0.588
-2.135 6.198 5.330
2.237 1.327 0.580
-0.948 2.480 5.322
1.190 5.135 4.162
-1.995 6.287 8.904
2.376 1.417 4.154
-0.809 2.390 8.896
4.263 4.078 2.245
1.078 7.344 6.987
```


Entry 6:
Entry from Alexandria: an optimized crystal structure of HfTh6Se12 (PBE-GGA).

Results
Energy   -6.63 eV/atom

Cell and atoms, written as POSCAR:
```
HfTh6Se12
1.0
6.329 3.654 3.935
-6.329 3.654 3.935
0.000 -7.308 3.935
Hf Th Se
1 6 12
Cartesian
0.000 0.000 0.000
-1.084 -3.071 4.230
-2.117 2.474 4.230
-3.201 -0.596 7.574
3.201 0.596 4.230
2.117 -2.474 7.574
1.084 3.071 7.574
-5.770 -1.482 6.433
-1.601 -5.738 5.371
-2.457 -0.403 4.633
-4.168 4.255 5.371
1.578 -1.926 4.633
-0.879 -2.329 7.171
0.879 2.329 4.633
-1.578 1.926 7.171
4.168 -4.255 6.433
2.457 0.403 7.171
1.601 5.738 6.433
5.770 1.482 5.371
```